Fe3CoIr: optimized geometry, GGA-PBE.

Output
Symmetry: Pm-3m, No. 221
Total magnetic moment, μB/cell: 0.001
Theoretical density, g cm⁻³: 10.3
DFT formation energy, eV/atom: 1.492
Electronic total energy, eV per atom: -6.7786
DOS(E_F), states/eV per cell: 14.409

Cell: 4.0732 4.0732 4.0732 Å, 90.00 90.00 90.00°
Atoms (fractional coordinates):
Co 0.0000 0.0000 0.0000
Fe 0.0000 0.0000 0.5000
Fe 0.0000 0.5000 0.0000
Fe 0.5000 0.0000 0.0000
Ir 0.5000 0.5000 0.5000